# 1
{"formula": "Tb5Th", "functional": "GGA-PBE", "state": "relaxed", "sg": "No. 164", "relative_energy_ev_per_fu": 0.00, "lattice": [[-1.903, -2.329, 1.929], [0.818, -0.742, -3.398], [14.700, -7.694, 5.217]], "species": ["Tb", "Tb", "Tb", "Tb", "Tb", "Th"], "frac_coords": [[0.000, 0.000, 0.500], [0.667, 0.333, 0.837], [0.333, 0.667, 0.163], [0.667, 0.333, 0.334], [0.333, 0.667, 0.666], [0.000, 0.000, 0.000]]}


# 2
{"formula": "LaCoCu2", "functional": "GGA-PBE", "state": "relaxed", "sg": "No. 225", "dft_energy_ev_per_cell": -19.2, "lattice": [[-0.407, -4.081, 2.260], [-2.159, -0.172, 4.152], [-4.189, -2.059, 0.378]], "species": ["Cu", "Cu", "La", "Co"], "frac_coords": [[0.750, 0.750, 0.750], [0.250, 0.250, 0.250], [0.500, 0.500, 0.500], [0.000, 0.000, 0.000]]}


# 3
{"formula": "TbHo5Sc", "functional": "GGA-PBE", "state": "relaxed", "sg": "No. 11", "dft_energy_ev_per_cell": -66.7, "lattice": [[3.554, 0.000, 0.000], [0.000, 9.054, -1.091], [0.000, -1.215, 13.488]], "species": ["Sc", "Sc", "Tb", "Tb", "Ho", "Ho", "Ho", "Ho", "Ho", "Ho", "Ho", "Ho", "Ho", "Ho"], "frac_coords": [[0.750, 0.648, 0.693], [0.250, 0.352, 0.307], [0.250, 0.884, 0.862], [0.750, 0.116, 0.138], [0.250, 0.008, 0.367], [0.750, 0.653, 0.277], [0.250, 0.347, 0.723], [0.750, 0.328, 0.507], [0.750, 0.199, 0.886], [0.250, 0.801, 0.114], [0.750, 0.582, 0.918], [0.750, 0.992, 0.633], [0.250, 0.418, 0.082], [0.250, 0.672, 0.493]]}


# 4
{"formula": "HfPt2Rh", "functional": "GGA-PBE", "state": "relaxed", "sg": "No. 122", "dft_energy_ev_per_cell": -62.9, "lattice": [[3.857, 0.000, 0.000], [0.000, 3.857, 0.000], [1.929, 1.929, 9.433]], "species": ["Pt", "Pt", "Pt", "Pt", "Hf", "Hf", "Rh", "Rh"], "frac_coords": [[0.375, 0.383, 0.750], [0.133, 0.625, 0.250], [0.617, 0.125, 0.250], [0.875, 0.867, 0.750], [0.750, 0.250, 0.500], [0.000, 0.000, 0.000], [0.250, 0.750, 0.500], [0.500, 0.500, 0.000]]}


# 5
{"formula": "SrLaNdGd", "functional": "GGA-PBE", "state": "relaxed", "sg": "No. 216", "dft_energy_ev_per_cell": -24.7, "lattice": [[6.014, 0.000, 0.000], [3.007, 5.208, 0.000], [3.007, 1.736, 4.910]], "species": ["La", "Nd", "Sr", "Gd"], "frac_coords": [[0.000, 0.000, 0.000], [0.500, 0.500, 0.500], [0.250, 0.250, 0.250], [0.750, 0.750, 0.750]]}


# 6
{"formula": "Nd5TmAs6", "functional": "GGA-PBE", "state": "relaxed", "sg": "No. 12", "dft_energy_ev_per_cell": -74.2, "lattice": [[-2.756, 6.794, 0.430], [0.566, 2.443, 6.905], [6.018, 3.632, 2.130]], "species": ["Nd", "Nd", "Nd", "Nd", "Nd", "As", "As", "As", "As", "As", "As", "Tm"], "frac_coords": [[0.000, 0.666, 0.668], [0.000, 0.334, 0.332], [0.500, 0.500, 0.000], [0.500, 0.832, 0.336], [0.500, 0.168, 0.664], [0.245, 0.592, 0.327], [0.246, 0.244, 0.000], [0.755, 0.082, 0.327], [0.754, 0.756, 0.000], [0.245, 0.918, 0.673], [0.755, 0.408, 0.673], [0.000, 0.000, 0.000]]}


# 7
{"formula": "Sr5Pd", "functional": "GGA-PBE", "state": "relaxed", "sg": "No. 51", "relative_energy_ev_per_fu": 0.00, "lattice": [[-1.210, 0.303, -4.348], [9.496, -1.764, -2.766], [-2.206, -11.572, -0.192]], "species": ["Sr", "Sr", "Sr", "Sr", "Sr", "Sr", "Sr", "Sr", "Sr", "Sr", "Pd", "Pd"], "frac_coords": [[0.000, 0.608, 0.750], [0.000, 0.000, 0.500], [0.500, 0.690, 0.082], [0.500, 0.957, 0.750], [0.500, 0.043, 0.250], [0.500, 0.690, 0.418], [0.000, 0.392, 0.250], [0.500, 0.310, 0.582], [0.500, 0.310, 0.918], [0.000, 0.000, 0.000], [0.000, 0.178, 0.750], [0.000, 0.822, 0.250]]}


# 8
{"formula": "Ba2Al3Zn4Sn", "functional": "GGA-PBE", "state": "relaxed", "sg": "No. 115", "dft_energy_ev_per_cell": -26.8, "lattice": [[4.564, 0.000, 0.000], [0.000, 4.564, 0.000], [0.000, 0.000, 11.333]], "species": ["Sn", "Zn", "Zn", "Zn", "Zn", "Al", "Al", "Al", "Ba", "Ba"], "frac_coords": [[0.500, 0.500, 0.500], [0.500, 0.500, 0.000], [0.500, 0.000, 0.644], [0.000, 0.500, 0.356], [0.000, 0.000, 0.000], [0.000, 0.000, 0.500], [0.000, 0.500, 0.122], [0.500, 0.000, 0.878], [0.000, 0.500, 0.756], [0.500, 0.000, 0.244]]}


# 9
{"formula": "Cs2TlPRh", "functional": "GGA-PBE", "state": "relaxed", "sg": "No. 123", "dft_energy_ev_per_cell": -16.5, "lattice": [[-2.576, 4.199, -4.794], [-4.069, -1.438, 0.926], [-0.681, 4.960, 4.710]], "species": ["Cs", "Cs", "Rh", "P", "Tl"], "frac_coords": [[0.500, 0.000, 0.000], [0.000, 0.000, 0.500], [0.000, 0.000, 0.000], [0.000, 0.500, 0.000], [0.500, 0.500, 0.500]]}


# 10
{"formula": "Ag2PtBr", "functional": "GGA-PBE", "state": "relaxed", "formation_energy_uncorrected_ev_per_atom": 0.17, "sg": "No. 6", "relative_energy_ev_per_fu": 0.16, "lattice": [[-1.738, -0.119, -2.584], [-3.206, -0.282, 2.169], [-2.178, 6.685, 1.158]], "species": ["Pt", "Ag", "Ag", "Br"], "frac_coords": [[0.500, 0.535, 0.804], [0.500, 0.329, 0.214], [0.000, 0.942, 0.989], [0.000, 0.694, 0.493]]}


# 11
{"formula": "CeCdCl6", "functional": "GGA-PBE", "state": "relaxed", "formation_energy_uncorrected_ev_per_atom": -1.58, "sg": "No. 148", "lattice": [[-6.369, -1.857, -0.590], [-2.397, -4.928, 3.787], [-4.499, 1.792, 5.344]], "species": ["Cl", "Cl", "Cl", "Cl", "Cl", "Cl", "Cd", "Ce"], "frac_coords": [[0.097, 0.401, 0.750], [0.401, 0.753, 0.750], [0.247, 0.903, 0.250], [0.599, 0.247, 0.250], [0.753, 0.097, 0.750], [0.903, 0.599, 0.250], [0.500, 0.500, 0.500], [0.000, 0.000, 0.000]]}


# 12
{"formula": "LiPr2Cu2", "functional": "GGA-PBE", "state": "relaxed", "sg": "No. 65", "relative_energy_ev_per_fu": 0.04, "lattice": [[-3.492, -0.932, -1.348], [-0.984, -1.845, 3.825], [-2.079, 7.162, 0.435]], "species": ["Cu", "Cu", "Pr", "Pr", "Li"], "frac_coords": [[0.000, 0.202, 0.403], [0.000, 0.798, 0.597], [0.500, 0.363, 0.726], [0.500, 0.637, 0.274], [0.000, 0.000, 0.000]]}


# 13
{"formula": "Tb5Sm3Y2", "functional": "GGA-PBE", "state": "relaxed", "sg": "No. 72", "relative_energy_ev_per_fu": 2.03, "lattice": [[10.994, 0.000, 0.000], [5.497, 8.280, 0.397], [5.497, 2.580, 7.878]], "species": ["Tb", "Tb", "Tb", "Tb", "Tb", "Tb", "Tb", "Tb", "Tb", "Tb", "Y", "Y", "Y", "Y", "Sm", "Sm", "Sm", "Sm", "Sm", "Sm"], "frac_coords": [[0.877, 0.533, 0.713], [0.998, 0.252, 0.252], [0.498, 0.252, 0.252], [0.502, 0.748, 0.748], [0.750, 0.500, 0.500], [0.250, 0.500, 0.500], [0.623, 0.287, 0.467], [0.002, 0.748, 0.748], [0.123, 0.467, 0.287], [0.377, 0.713, 0.533], [0.627, 0.969, 0.778], [0.873, 0.222, 0.031], [0.373, 0.031, 0.222], [0.127, 0.778, 0.969], [0.374, 0.374, 0.878], [0.626, 0.626, 0.122], [0.874, 0.878, 0.374], [0.250, 0.000, 0.000], [0.750, 0.000, 0.000], [0.126, 0.122, 0.626]]}


# 14
{"formula": "SrTe2P", "functional": "GGA-PBE", "state": "relaxed", "formation_energy_uncorrected_ev_per_atom": -0.66, "sg": "No. 6", "relative_energy_ev_per_fu": 0.00, "lattice": [[4.658, 0.000, 0.000], [0.000, 4.792, 0.016], [0.000, 2.280, 6.018]], "species": ["Te", "Te", "P", "Sr"], "frac_coords": [[0.000, 0.915, 0.108], [0.500, 0.683, 0.653], [0.000, 0.553, 0.510], [0.500, 0.348, 0.230]]}


# 15
{"formula": "AlPbCl2", "functional": "GGA-PBE", "state": "relaxed", "formation_energy_uncorrected_ev_per_atom": -0.34, "sg": "No. 47", "relative_energy_ev_per_fu": 1.03, "lattice": [[-2.535, -0.180, 2.254], [-1.768, -3.203, -2.246], [3.599, -4.570, 3.684]], "species": ["Al", "Cl", "Cl", "Pb"], "frac_coords": [[0.500, 0.500, 0.750], [0.000, 0.000, 0.504], [0.000, 0.000, 0.996], [0.500, 0.500, 0.250]]}


# 16
{"formula": "Y3Sn2Pd7", "functional": "GGA-PBE", "state": "relaxed", "sg": "No. 139", "dft_energy_ev_per_cell": -72.5, "lattice": [[-1.351, -0.608, -3.795], [-2.391, -3.017, 1.334], [-8.963, 11.422, 3.548]], "species": ["Pd", "Pd", "Pd", "Pd", "Pd", "Pd", "Pd", "Y", "Y", "Y", "Sn", "Sn"], "frac_coords": [[0.428, 0.928, 0.855], [0.072, 0.572, 0.145], [0.928, 0.428, 0.855], [0.778, 0.778, 0.555], [0.000, 0.000, 0.000], [0.572, 0.072, 0.145], [0.222, 0.222, 0.445], [0.318, 0.318, 0.637], [0.682, 0.682, 0.363], [0.500, 0.500, 0.000], [0.130, 0.130, 0.260], [0.870, 0.870, 0.740]]}


# 17
{"formula": "AcHoAgBi", "functional": "GGA-PBE", "state": "relaxed", "sg": "No. 216", "dft_energy_ev_per_cell": -17.0, "lattice": [[-5.321, 0.252, 1.592], [-4.049, -0.101, -3.809], [-3.259, -4.479, -0.475]], "species": ["Ag", "Ac", "Ho", "Bi"], "frac_coords": [[0.250, 0.250, 0.250], [0.500, 0.500, 0.500], [0.000, 0.000, 0.000], [0.750, 0.750, 0.750]]}


# 18
{"formula": "Tl2InW", "functional": "GGA-PBE", "state": "relaxed", "sg": "No. 123", "relative_energy_ev_per_fu": 1.60, "lattice": [[-3.568, 0.720, 2.586], [-0.986, -4.396, -0.136], [2.524, -0.680, 3.672]], "species": ["Tl", "Tl", "In", "W"], "frac_coords": [[0.000, 0.500, 0.500], [0.000, 0.000, 0.000], [0.500, 0.000, 0.500], [0.500, 0.500, 0.000]]}


# 19
{"formula": "Tm8P3Pb3C", "functional": "GGA-PBE", "state": "relaxed", "sg": "No. 12", "dft_energy_ev_per_cell": -85.3, "lattice": [[7.677, 0.000, 0.000], [-3.839, 6.669, -0.031], [0.000, -4.422, 7.705]], "species": ["Tm", "Tm", "Tm", "Tm", "Tm", "Tm", "Tm", "Tm", "Pb", "Pb", "Pb", "C", "P", "P", "P"], "frac_coords": [[0.788, 0.029, 0.317], [0.733, 0.465, 0.697], [0.240, 0.029, 0.317], [0.212, 0.423, 0.683], [0.212, 0.971, 0.683], [0.760, 0.971, 0.683], [0.267, 0.535, 0.303], [0.788, 0.577, 0.317], [0.500, 0.500, 0.000], [0.000, 0.500, 0.000], [0.000, 0.000, 0.000], [0.000, 0.000, 0.500], [0.000, 0.500, 0.500], [0.500, 0.500, 0.500], [0.500, 0.000, 0.500]]}


# 20
{"formula": "BaVSn2Hg", "functional": "GGA-PBE", "state": "relaxed", "sg": "No. 123", "dft_energy_ev_per_cell": -20.4, "lattice": [[5.192, 0.000, 0.000], [0.000, 5.192, 0.000], [0.000, 0.000, 5.382]], "species": ["Sn", "Sn", "Hg", "Ba", "V"], "frac_coords": [[0.000, 0.500, 0.000], [0.500, 0.000, 0.000], [0.000, 0.000, 0.500], [0.500, 0.500, 0.500], [0.000, 0.000, 0.000]]}


# 21
{"formula": "KMg2SbTe", "functional": "GGA-PBE", "state": "relaxed", "formation_energy_uncorrected_ev_per_atom": 1.01, "sg": "No. 123", "lattice": [[-4.060, -2.787, -3.126], [4.387, -2.712, -3.280], [0.108, -4.422, 3.802]], "species": ["Mg", "Mg", "K", "Sb", "Te"], "frac_coords": [[0.500, 0.000, 0.000], [0.000, 0.000, 0.500], [0.000, 0.000, 0.000], [0.000, 0.500, 0.000], [0.500, 0.500, 0.500]]}


# 22
{"formula": "RbScBr2", "functional": "GGA-PBE", "state": "relaxed", "formation_energy_uncorrected_ev_per_atom": -1.03, "sg": "No. 166", "relative_energy_ev_per_fu": 0.00, "lattice": [[1.241, 9.789, 1.655], [-0.113, 8.401, 5.434], [3.990, 8.057, 4.391]], "species": ["Br", "Br", "Rb", "Sc"], "frac_coords": [[0.089, 0.089, 0.089], [0.911, 0.911, 0.911], [0.500, 0.500, 0.500], [0.000, 0.000, 0.000]]}


# 23
{"formula": "LiAlSnBi", "functional": "GGA-PBE", "state": "relaxed", "sg": "No. 216", "dft_energy_ev_per_cell": -13.6, "lattice": [[-1.480, -3.492, -3.412], [3.438, -3.124, -2.109], [0.044, -4.950, 1.233]], "species": ["Li", "Bi", "Sn", "Al"], "frac_coords": [[0.500, 0.500, 0.500], [0.750, 0.750, 0.750], [0.250, 0.250, 0.250], [0.000, 0.000, 0.000]]}


# 24
{"formula": "Ho4Er5Tm", "functional": "GGA-PBE", "state": "relaxed", "sg": "No. 2", "relative_energy_ev_per_fu": 0.00, "lattice": [[-0.081, 2.266, -2.686], [1.970, -5.832, -2.633], [-13.425, -4.212, 1.406]], "species": ["Er", "Er", "Er", "Er", "Er", "Ho", "Ho", "Ho", "Ho", "Tm"], "frac_coords": [[0.500, 0.500, 0.000], [0.069, 0.418, 0.615], [0.773, 0.875, 0.584], [0.227, 0.125, 0.416], [0.931, 0.582, 0.385], [0.888, 0.704, 0.808], [0.641, 0.172, 0.789], [0.359, 0.828, 0.211], [0.112, 0.296, 0.192], [0.500, 0.000, 0.000]]}